DFT (PBE) results for crystalline Ni2B2Au at its relaxed geometry.

Cell: 2.798 2.798 13.555 Å, 90.00 90.00 90.00°
Space group I4/mmm (No. 139)
Inequivalent atoms, fractional coordinates:
Ni (0.000, 0.000, 0.143) [4 per cell]
B (0.000, 0.500, 0.250) [4 per cell]
Au (0.000, 0.000, 0.500) [2 per cell]

Its total magnetization is 0.00 μB/atom. The calculation puts the total DFT energy (no corrections) at -5.66 eV/atom. As for the crystal system: tetragonal. The calculation puts the energy relative to the elements at -0.02 eV/atom.

=====

DFT (PBE) results for crystalline Er3Zr2NbN6 at its relaxed geometry.

Cell: 5.706 9.882 5.776 Å, 90.00 109.29 90.00°
Space group C2/m (No. 12)
Inequivalent atoms, fractional coordinates:
Er (0.000, 0.000, 0.000) [2 per cell]
Er (0.000, 0.334, 0.000) [4 per cell]
Zr (0.000, 0.167, 0.500) [4 per cell]
Nb (0.000, 0.500, 0.500) [2 per cell]
N (0.245, 0.333, 0.736) [8 per cell]
N (0.246, 0.000, 0.739) [4 per cell]

Its total magnetization is 0.00 μB/atom. The calculation puts the total DFT energy (no corrections) at -9.20 eV/atom. As for the crystal system: monoclinic. The raw formation energy comes out at -1.64 eV/atom.

=====

- The lowest total DFT energy (no corrections) belongs to which entry?
  Er3Zr2NbN6

=====

What did the first record say?
DFT (PBE) results for crystalline Ni2B2Au at its relaxed geometry.

Cell: 2.798 2.798 13.555 Å, 90.00 90.00 90.00°
Space group I4/mmm (No. 139)
Inequivalent atoms, fractional coordinates:
Ni (0.000, 0.000, 0.143) [4 per cell]
B (0.000, 0.500, 0.250) [4 per cell]
Au (0.000, 0.000, 0.500) [2 per cell]

Its total magnetization is 0.00 μB/atom. The calculation puts the total DFT energy (no corrections) at -5.66 eV/atom. As for the crystal system: tetragonal. The calculation puts the energy relative to the elements at -0.02 eV/atom.